Density functional theory data (PBE with a Hubbard U) for a relaxed TlVIO2 crystal.

## Properties
energy above the lowest structure with this stoichiometry: 0.000 eV/atom
total magnetization: 1.2 μB per formula unit

Unit cell a=4.1469 b=4.1469 c=5.6691 alpha=90.00 beta=90.00 gamma=90.00
Last column: nearest neighbours and their distance in Å.
Positions (direct):
Tl: 0.0000 0.0000 0.0000  4 I 2.93
V: 0.5000 0.5000 0.5000  4 O 2.07
I: 0.5000 0.5000 0.0000  2 V 2.83, 4 Tl 2.93
O: 0.0000 0.5000 0.5000  2 V 2.07
O: 0.5000 0.0000 0.5000  2 V 2.07